Density functional theory data (PBE) for La4NiP after structural relaxation.

```
6
Lattice="0.0000 4.3961 4.3961 4.3961 0.0000 4.3961 4.3961 4.3961 0.0000" Properties=species:S:1:pos:R:3 pbc="T T T"
La 3.2873 5.5049 5.5049
La 3.2873 3.2873 3.2873
La 5.5049 5.5049 3.2873
La 5.5049 3.2873 5.5049
Ni 6.5942 6.5942 6.5942
P 0.0000 0.0000 0.0000
```

**ΔH_f (0 K)**: 0.5136 eV per atom
**Spin magnetization**: 0.00 μB/cell
**E**: -0.1704 hartree per atom
**Space group**: F-43m, No. 216
**Calculated volume**: 28.319 Å³/atom

***

Density functional theory data (PBE) for CsNaInHg2 after structural relaxation.

```
5
Lattice="5.0229 0.0000 0.0000 0.0000 5.0229 0.0000 -2.5115 -2.5115 6.9525" Properties=species:S:1:pos:R:3 pbc="T T T"
Cs 0.0000 0.0000 0.0000
Hg 2.5115 2.5115 1.6034
Hg 0.0000 0.0000 5.3491
In 2.5115 0.0000 3.4763
Na 0.0000 2.5115 3.4763
```

**ΔH_f (0 K)**: -0.1822 eV per atom
**Spin magnetization**: 0.00 μB/cell
**E**: -0.0472 hartree per atom
**E above lowest polymorph**: 0.000 eV/atom
**Space group**: I-4m2, No. 119
**Calculated volume**: 35.082 Å³/atom

***

Density functional theory data (PBE) for Cs2LaOs after structural relaxation.

```
4
Lattice="3.8968 -3.7304 1.3388 1.0435 -1.1341 5.3402 -1.4748 -4.9144 2.1370" Properties=species:S:1:pos:R:3 pbc="T T T"
Cs 0.8664 -2.4447 2.2040
Cs 2.5991 -7.3341 6.6120
La 0.0000 0.0000 0.0000
Os 1.7328 -4.8894 4.4080
```

**ΔH_f (0 K)**: 1.5758 eV per atom
**Spin magnetization**: 0.00 μB/cell
**E**: -0.1062 hartree per atom
**Space group**: Fm-3m, No. 225
**Calculated volume**: 30.354 Å³/atom

***

- Which of these has the highest ΔH_f (0 K)?
  Cs2LaOs